<P>
## TaAlAg (GGA-PBE)

Data for TaAlAg after structural relaxation.

The space group is F-43m (No. 216) and the conventional cell measures 6.168, 6.168 and 6.168 Å, with angles of 90.00, 90.00 and 90.00 degrees. The inequivalent atoms are Ta at (0.000, 0.000, 0.000), Al at (0.000, 0.000, 0.500) and Ag at (0.250, 0.250, 0.750).

<Q>
## TaAlAg (GGA-PBE)

Data for TaAlAg after structural relaxation.

The space group is P2_1/m (No. 11) and the conventional cell measures 2.925, 4.559 and 7.735 Å, with angles of 90.00, 96.41 and 90.00 degrees. The inequivalent atoms are Ta at (0.144, 0.250, 0.098), Al at (0.363, 0.250, 0.766) and Ag at (0.266, 0.750, 0.563).

Least stable structure: <P>

<P>
## Tb2Al3Ag5 (GGA-PBE)

Data for Tb2Al3Ag5 after structural relaxation.

The space group is Cmc2_1 (No. 36) and the conventional cell measures 4.571, 25.177 and 6.992 Å, with angles of 90.00, 90.00 and 90.00 degrees. The inequivalent atoms are Tb at (0.000, 0.014, 0.000), Tb at (0.000, 0.325, 0.983), Al at (0.000, 0.104, 0.306), Al at (0.000, 0.271, 0.451), Al at (0.000, 0.446, 0.200), Ag at (0.000, 0.106, 0.700), Ag at (0.000, 0.201, 0.159), Ag at (0.000, 0.216, 0.759), Ag at (0.000, 0.375, 0.497) and Ag at (0.000, 0.450, 0.803).

<Q>
## Tb2Al3Ag5 (GGA-PBE)

Data for Tb2Al3Ag5 after structural relaxation.

The space group is Ibam (No. 72) and the conventional cell measures 11.708, 11.795 and 5.952 Å, with angles of 90.00, 90.00 and 90.00 degrees. The inequivalent atoms are Tb at (0.132, 0.237, 0.000), Al at (0.000, 0.500, 0.250), Al at (0.129, 0.131, 0.500), Ag at (0.000, 0.000, 0.250), Ag at (0.107, 0.345, 0.500) and Ag at (0.241, 0.500, 0.250).

Least stable structure: <Q>

<P>
## TbAl4Ag (GGA-PBE)

Data for TbAl4Ag after structural relaxation.

The space group is F-43m (No. 216) and the conventional cell measures 7.755, 7.755 and 7.755 Å, with angles of 90.00, 90.00 and 90.00 degrees. The inequivalent atoms are Tb at (0.000, 0.000, 0.000), Al at (0.126, 0.126, 0.626) and Ag at (0.250, 0.250, 0.250).

<Q>
## TbAl4Ag (GGA-PBE)

Data for TbAl4Ag after structural relaxation.

The space group is C2/m (No. 12) and the conventional cell measures 10.282, 6.946 and 7.107 Å, with angles of 90.00, 111.51 and 90.00 degrees. The inequivalent atoms are Tb at (0.157, 0.000, 0.274), Al at (0.000, 0.286, 0.500), Al at (0.114, 0.306, 0.940), Al at (0.156, 0.000, 0.750) and Ag at (0.113, 0.500, 0.300).

Least stable structure: <P>

<P>
## Tb8AlAg2 (GGA-PBE)

Data for Tb8AlAg2 after structural relaxation.

The space group is C2/m (No. 12) and the conventional cell measures 16.034, 5.272 and 8.370 Å, with angles of 90.00, 120.38 and 90.00 degrees. The inequivalent atoms are Tb at (0.068, 0.000, 0.222), Tb at (0.097, 0.500, 0.950), Tb at (0.136, 0.000, 0.689), Tb at (0.181, 0.500, 0.459), Al at (0.000, 0.500, 0.500) and Ag at (0.224, 0.000, 0.116).

<Q>
## Tb8AlAg2 (GGA-PBE)

Data for Tb8AlAg2 after structural relaxation.

The space group is C2/m (No. 12) and the conventional cell measures 8.626, 14.450 and 5.390 Å, with angles of 90.00, 110.02 and 90.00 degrees. The inequivalent atoms are Tb at (0.000, 0.221, 0.000), Tb at (0.109, 0.500, 0.805), Tb at (0.208, 0.114, 0.602), Al at (0.000, 0.000, 0.000) and Ag at (0.000, 0.304, 0.500).

Least stable structure: <Q>

<P>
## Tb4AlAg (GGA-PBE)

Data for Tb4AlAg after structural relaxation.

The space group is Cm (No. 8) and the conventional cell measures 12.061, 3.588 and 8.681 Å, with angles of 90.00, 118.55 and 90.00 degrees. The inequivalent atoms are Tb at (0.000, 0.000, 0.000), Tb at (0.030, 0.500, 0.365), Tb at (0.265, 0.500, 0.259), Tb at (0.310, 0.000, 0.624), Al at (0.268, 0.000, 0.960) and Ag at (0.041, 0.000, 0.664).

<Q>
## Tb4AlAg (GGA-PBE)

Data for Tb4AlAg after structural relaxation.

The space group is Cmc2_1 (No. 36) and the conventional cell measures 5.200, 21.803 and 6.396 Å, with angles of 90.00, 90.00 and 90.00 degrees. The inequivalent atoms are Tb at (0.000, 0.064, 0.000), Tb at (0.000, 0.193, 0.298), Tb at (0.000, 0.215, 0.815), Tb at (0.000, 0.376, 0.074), Al at (0.000, 0.340, 0.552) and Ag at (0.000, 0.071, 0.507).

Least stable structure: <Q>

<P>
## Tb4Al3Ag (GGA-PBE)

Data for Tb4Al3Ag after structural relaxation.

The space group is Pmm2 (No. 25) and the conventional cell measures 3.673, 4.584 and 11.731 Å, with angles of 90.00, 90.00 and 90.00 degrees. The inequivalent atoms are Tb at (0.000, 0.000, 0.000), Tb at (0.000, 0.500, 0.305), Tb at (0.500, 0.000, 0.498), Tb at (0.500, 0.500, 0.810), Al at (0.000, 0.000, 0.720), Al at (0.000, 0.500, 0.586), Al at (0.500, 0.500, 0.083) and Ag at (0.500, 0.000, 0.222).

<Q>
## Tb4Al3Ag (GGA-PBE)

Data for Tb4Al3Ag after structural relaxation.

The space group is P4/mmm (No. 123) and the conventional cell measures 3.590, 3.590 and 14.814 Å, with angles of 90.00, 90.00 and 90.00 degrees. The inequivalent atoms are Tb at (0.000, 0.000, 0.123), Tb at (0.000, 0.000, 0.371), Al at (0.500, 0.500, 0.000), Al at (0.500, 0.500, 0.248) and Ag at (0.500, 0.500, 0.500).

Least stable structure: <P>